Record 1
Material: Er3Tm4Sc4
Method: DFT, PBE
State: optimized geometry

Output
density = 7.31 g cm⁻³
distance to the lowest polymorph of the same formula = 0 meV per atom

abc: 3.421 4.806 18.996
angles: 97.27 95.15 89.99
Positions (direct):
Tm1 0.547 0.547 0.094
Tm2 0.816 0.816 0.632
Tm3 0.184 0.184 0.368
Tm4 0.453 0.453 0.906
Er1 0.637 0.637 0.274
Er2 0.363 0.363 0.726
Er3 0.000 0.000 0.000
Sc1 0.908 0.908 0.816
Sc2 0.272 0.272 0.543
Sc3 0.092 0.092 0.184
Sc4 0.728 0.728 0.457

***

Record 2
Material: Er4Tm19Sc6
Method: DFT, PBE
State: optimized geometry

Output
density = 7.74 g cm⁻³
energy = -4.4690 eV/atom

abc: 10.450 10.450 10.541
angles: 108.71 109.88 109.47
Positions (direct):
Tm1 0.775 0.987 0.327
Tm2 0.008 0.793 0.343
Tm3 0.264 0.002 0.269
Tm4 0.450 0.665 0.657
Tm5 0.002 0.002 0.000
Tm6 0.000 0.733 0.735
Tm7 0.670 0.662 0.444
Tm8 0.267 0.267 0.000
Tm9 0.218 0.226 0.556
Tm10 0.336 0.786 0.003
Tm11 0.733 0.996 0.731
Tm12 0.340 0.011 0.789
Tm13 0.734 0.734 0.000
Tm14 0.990 0.335 0.784
Tm15 0.222 0.551 0.211
Tm16 0.998 0.265 0.265
Tm17 0.783 0.332 0.997
Tm18 0.661 0.448 0.673
Tm19 0.550 0.206 0.216
Er1 0.641 0.996 0.995
Er2 0.001 0.646 0.005
Er3 0.359 0.356 0.355
Er4 0.001 0.004 0.645
Sc1 0.498 0.115 0.616
Sc2 0.378 0.504 0.881
Sc3 0.499 0.882 0.384
Sc4 0.622 0.497 0.119
Sc5 0.879 0.379 0.500
Sc6 0.120 0.620 0.500

***

Record 3
Material: Er2TmSc
Method: DFT, PBE
State: optimized geometry

Output
density = 7.88 g cm⁻³
distance to the lowest polymorph of the same formula = 0 meV per atom

abc: 3.469 6.009 11.269
angles: 84.91 98.85 90.01
Positions (direct):
Tm1 0.041 0.398 0.570
Tm2 0.541 0.898 0.570
Er1 0.413 0.608 0.312
Er2 0.673 0.188 0.829
Er3 0.173 0.688 0.829
Er4 0.913 0.108 0.312
Sc1 0.793 0.481 0.072
Sc2 0.293 0.981 0.072